(1)
Entry from Alexandria: a relaxed Cs3BeNi crystal (PBEsol).

```
5
Lattice="6.507 0.000 0.000 0.000 6.507 0.000 0.000 0.000 6.507" Properties=species:S:1:pos:R:3 pbc="T T T"
Cs 0.000 0.000 3.254
Cs 0.000 3.254 0.000
Cs 3.254 0.000 0.000
Be 0.000 0.000 0.000
Ni 3.254 3.254 3.254
```

Calculated values
As for the formation energy: 1.19 eV/atom.



(2)
Entry from Alexandria: a relaxed Tb10B2Br15 crystal (PBEsol).

```
27
Lattice="8.886 0.000 0.000 -3.402 8.964 0.000 -4.367 -1.860 9.338" Properties=species:S:1:pos:R:3 pbc="T T T"
Tb -0.870 1.600 0.898
Tb -2.500 4.216 3.045
Tb -2.854 0.652 7.664
Tb -0.166 5.069 0.460
Tb -1.643 7.661 2.606
Tb 2.760 -0.557 6.731
Tb 1.282 2.034 8.878
Tb 3.970 6.452 1.674
Tb 3.616 2.888 6.292
Tb 1.987 5.503 8.440
B -2.563 5.873 1.148
B 3.679 1.230 8.190
Br -0.828 -0.272 3.263
Br -2.590 2.352 5.436
Br -4.202 5.136 7.658
Br 1.898 0.723 0.553
Br 0.208 3.398 2.799
Br -1.605 6.149 4.978
Br 0.020 -0.057 7.183
Br 2.742 4.482 0.000
Br 1.097 7.161 2.155
Br 2.722 0.954 4.360
Br 0.908 3.705 6.539
Br -0.782 6.380 8.785
Br 5.318 1.967 1.680
Br 3.706 4.752 3.902
Br 1.944 7.376 6.075
```

Calculated values
For the total DFT energy (no corrections), the calculation gives -4.961 eV per atom.



| no. | spin magnetization (μB per formula unit) |
| --- | --- |
| 1 | 0.8 |
| 2 | 0.0 |